1.
V2Fe13 | PBE-GGA | optimized geometry

Summary:
Calculated density = 7.71 g/cm3
M_tot = 25.797 μB per cell
E = -127.62 eV per formula unit

a = 6.2489 Å, b = 6.1683 Å, c = 6.4530 Å
α = 120.03°, β = 60.30°, γ = 118.30°
With the nearest neighbours (Å) after each atom.
Sites, in units of the cell vectors:
1 Fe 0.3379 0.8143 0.8638  7 Fe 2.41-2.66, 2 V 2.45-2.56
2 Fe 0.7286 0.0579 0.4449  8 Fe 2.40-2.68, 2 V 2.50-2.52
3 Fe 0.4729 0.2731 0.9273  7 Fe 2.37-2.64, 1 V 2.65
4 Fe 0.5813 0.4324 0.5846  1 V 2.35, 7 Fe 2.36-2.63
5 Fe 0.9361 0.5244 0.7173  9 Fe 2.40-2.63
6 Fe 0.5271 0.7269 0.0727  7 Fe 2.37-2.64, 1 V 2.65
7 Fe 0.2714 0.9421 0.5551  8 Fe 2.40-2.68, 2 V 2.50-2.52
8 Fe 0.0000 0.0000 0.0000  10 Fe 2.44-2.55, 2 V 2.57
9 Fe 0.8624 0.6510 0.1681  7 Fe 2.36-2.54
10 Fe 0.6621 0.1857 0.1362  7 Fe 2.41-2.66, 2 V 2.45-2.56
11 Fe 0.0639 0.4756 0.2827  9 Fe 2.40-2.63
12 Fe 0.4187 0.5676 0.4154  1 V 2.35, 7 Fe 2.36-2.63
13 Fe 0.1376 0.3491 0.8319  7 Fe 2.36-2.54
14 V 0.8056 0.8836 0.6744  6 Fe 2.35-2.57
15 V 0.1944 0.1164 0.3256  6 Fe 2.35-2.57

---

2.
VFe2W | PBE-GGA | optimized geometry

Summary:
Calculated density = 10.12 g/cm3
M_tot = 8.747 μB per cell
E = -36.29 eV per formula unit

a = 3.5168 Å, b = 3.5168 Å, c = 9.5248 Å
α = 79.36°, β = 79.36°, γ = 90.00°
With the nearest neighbours (Å) after each atom.
Sites, in units of the cell vectors:
1 Fe 0.6193 0.1250 0.2500  4 Fe 2.46-2.52, 2 V 2.61, 2 W 2.62
2 Fe 0.8750 0.8693 0.7500  4 Fe 2.46-2.52, 2 V 2.61, 2 W 2.62
3 Fe 0.3750 0.3807 0.7500  4 Fe 2.46-2.52, 2 V 2.61, 2 W 2.62
4 Fe 0.1307 0.6250 0.2500  4 Fe 2.46-2.52, 2 V 2.61, 2 W 2.62
5 W 0.0000 0.0000 0.0000  4 V 2.49, 4 Fe 2.62
6 W 0.7500 0.2500 0.5000  4 V 2.49, 4 Fe 2.62
7 V 0.5000 0.5000 0.0000  4 W 2.49, 4 Fe 2.61
8 V 0.2500 0.7500 0.5000  4 W 2.49, 4 Fe 2.61

---

3.
V6Fe5W | PBE-GGA | optimized geometry

Summary:
Calculated density = 8.55 g/cm3
M_tot = 3.298 μB per cell
E = -111.13 eV per formula unit

a = 4.1320 Å, b = 5.8512 Å, c = 7.1365 Å
α = 114.20°, β = 106.82°, γ = 90.00°
With the nearest neighbours (Å) after each atom.
Sites, in units of the cell vectors:
1 V 0.1694 0.4235 0.3387  7 Fe 2.46-2.55, 1 W 2.57
2 V 0.1694 0.9152 0.3387  7 Fe 2.46-2.55, 1 W 2.57
3 V 0.5000 0.2575 0.0000  6 Fe 2.51-2.58, 2 W 2.56
4 V 0.5000 0.7425 0.0000  6 Fe 2.51-2.58, 2 W 2.56
5 V 0.8306 0.0848 0.6613  7 Fe 2.46-2.55, 1 W 2.57
6 V 0.8306 0.5765 0.6613  7 Fe 2.46-2.55, 1 W 2.57
7 W 0.0000 0.0000 0.0000  8 V 2.56-2.57
8 Fe 0.6694 0.1695 0.3389  8 V 2.46-2.58
9 Fe 0.0000 0.5000 0.0000  8 V 2.51-2.54
10 Fe 0.3318 0.3318 0.6635  8 V 2.50-2.52
11 Fe 0.6682 0.6682 0.3365  8 V 2.50-2.52
12 Fe 0.3306 0.8305 0.6611  8 V 2.46-2.58

---

4.
V6Fe2W | PBE-GGA | optimized geometry

Summary:
Calculated density = 8.19 g/cm3
M_tot = 0.000 μB per cell
E = -83.76 eV per formula unit

a = 6.8161 Å, b = 6.8161 Å, c = 6.8161 Å
α = 108.55°, β = 109.72°, γ = 110.15°
With the nearest neighbours (Å) after each atom.
Sites, in units of the cell vectors:
1 V 0.2060 0.7601 0.9661  2 Fe 2.26-2.47, 1 W 2.50
2 V 0.7940 0.7601 0.5541  2 Fe 2.26-2.47, 1 W 2.50
3 V 0.2673 0.5768 0.3095  1 Fe 2.23
4 V 0.5143 0.7103 0.8040  3 Fe 2.54-2.60, 1 W 2.73, 2 V 2.75
5 V 0.9063 0.7103 0.1960  3 Fe 2.54-2.60, 1 W 2.73, 2 V 2.75
6 V 0.7327 0.0422 0.3095  1 Fe 2.23
7 V 0.4857 0.2897 0.1960  3 Fe 2.54-2.60, 1 W 2.73, 2 V 2.75
8 V 0.0937 0.2897 0.8040  3 Fe 2.54-2.60, 1 W 2.73, 2 V 2.75
9 V 0.2673 0.9578 0.6905  1 Fe 2.23
10 V 0.2060 0.2399 0.4459  2 Fe 2.26-2.47, 1 W 2.50
11 V 0.7940 0.2399 0.0339  2 Fe 2.26-2.47, 1 W 2.50
12 V 0.7327 0.4232 0.6905  1 Fe 2.23
13 Fe 0.3590 0.0000 0.3590  1 Fe 2.21, 2 V 2.26
14 Fe 0.5000 0.3525 0.8525  4 V 2.23-2.47, 1 Fe 2.35
15 Fe 0.6410 0.0000 0.6410  1 Fe 2.21, 2 V 2.26
16 Fe 0.5000 0.6475 0.1475  4 V 2.23-2.47, 1 Fe 2.35
17 W 0.0000 0.5000 0.5000  8 V 2.58-2.63
18 W 0.0000 0.0000 0.0000  8 V 2.50-2.73

---

5.
V4Fe5W | PBE-GGA | optimized geometry

Summary:
Calculated density = 9.16 g/cm3
M_tot = 2.204 μB per cell
E = -92.50 eV per formula unit

a = 2.8011 Å, b = 2.8011 Å, c = 15.4014 Å
α = 90.00°, β = 90.00°, γ = 90.00°
With the nearest neighbours (Å) after each atom.
Sites, in units of the cell vectors:
1 V 0.0000 0.0000 0.5974  8 Fe 2.48-2.50
2 V 0.0000 0.0000 0.4026  8 Fe 2.48-2.50
3 V 0.0000 0.0000 0.7921  8 Fe 2.41-2.46
4 V 0.0000 0.0000 0.2079  8 Fe 2.41-2.46
5 Fe 0.5000 0.5000 0.3032  8 V 2.46-2.50
6 Fe 0.5000 0.5000 0.8810  4 V 2.41
7 Fe 0.5000 0.5000 0.1190  4 V 2.41
8 Fe 0.5000 0.5000 0.6968  8 V 2.46-2.50
9 Fe 0.5000 0.5000 0.5000  8 V 2.48
10 W 0.0000 0.0000 0.0000  8 Fe 2.70, 4 W 2.80

---

6.
VFeW2 | PBE-GGA | optimized geometry

Summary:
Calculated density = 13.00 g/cm3
M_tot = 0.005 μB per cell
E = -40.51 eV per formula unit
Distance to the lowest polymorph of the same formula = 704 meV/atom

a = 6.8664 Å, b = 6.8664 Å, c = 5.4941 Å
α = 51.33°, β = 51.33°, γ = 90.00°
With the nearest neighbours (Å) after each atom.
Sites, in units of the cell vectors:
1 Fe 0.7500 0.2500 0.5000  4 W 2.41, 2 V 2.57
2 Fe 0.0000 0.0000 0.0000  4 W 2.41, 2 V 2.57
3 W 0.1021 0.6250 0.2500  2 Fe 2.41, 2 W 2.59, 2 V 2.62
4 W 0.3750 0.3521 0.7500  2 Fe 2.41, 2 W 2.59, 2 V 2.62
5 W 0.8750 0.8979 0.7500  2 Fe 2.41, 2 W 2.59, 2 V 2.62
6 W 0.6479 0.1250 0.2500  2 Fe 2.41, 2 W 2.59, 2 V 2.62
7 V 0.5000 0.5000 0.0000  2 Fe 2.57, 4 W 2.62
8 V 0.2500 0.7500 0.5000  2 Fe 2.57, 4 W 2.62

---

7.
VFeW2 | PBE-GGA | optimized geometry

Summary:
Calculated density = 13.94 g/cm3
M_tot = 1.468 μB per cell
E = -43.16 eV per formula unit
Distance to the lowest polymorph of the same formula = 40 meV/atom

a = 4.3075 Å, b = 4.3075 Å, c = 4.3075 Å
α = 60.00°, β = 60.00°, γ = 60.00°
With the nearest neighbours (Å) after each atom.
Sites, in units of the cell vectors:
1 V 0.5000 0.5000 0.5000  8 W 2.64
2 W 0.7500 0.7500 0.7500  4 Fe 2.64, 4 V 2.64
3 W 0.2500 0.2500 0.2500  4 Fe 2.64, 4 V 2.64
4 Fe 0.0000 0.0000 0.0000  8 W 2.64

---

8.
V14FeW | PBE-GGA | optimized geometry

Summary:
Calculated density = 7.40 g/cm3
M_tot = 0.000 μB per cell
E = -149.77 eV per formula unit

a = 5.1840 Å, b = 5.1840 Å, c = 8.4388 Å
α = 90.00°, β = 90.00°, γ = 109.52°
With the nearest neighbours (Å) after each atom.
Sites, in units of the cell vectors:
1 V 0.6250 0.8750 0.0000  8 V 2.56-2.59
2 V 0.1250 0.3750 0.0000  8 V 2.56-2.59
3 V 0.3751 0.6249 0.7541  8 V 2.56-2.61
4 V 0.3709 0.1209 0.7479  1 Fe 2.56, 6 V 2.58-2.61, 1 W 2.59
5 V 0.1250 0.3751 0.5000  2 Fe 2.59, 2 W 2.59, 4 V 2.61
6 V 0.8749 0.1251 0.2458  8 V 2.56-2.61
7 V 0.8791 0.6291 0.7479  1 Fe 2.56, 6 V 2.58-2.61, 1 W 2.59
8 V 0.8791 0.6291 0.2521  1 Fe 2.56, 6 V 2.58-2.61, 1 W 2.59
9 V 0.3709 0.1209 0.2521  1 Fe 2.56, 6 V 2.58-2.61, 1 W 2.59
10 V 0.8749 0.1251 0.7542  8 V 2.56-2.61
11 V 0.3751 0.6249 0.2459  8 V 2.56-2.61
12 V 0.6249 0.8750 0.5000  2 Fe 2.59, 2 W 2.59, 4 V 2.61
13 V 0.6250 0.3750 0.0000  8 V 2.59-2.61
14 V 0.1251 0.8749 0.0000  8 V 2.59
15 Fe 0.1250 0.8750 0.5000  8 V 2.56-2.59
16 W 0.6250 0.3750 0.5000  8 V 2.59